Compound: PaMn3B4O12
Source: Alexandria
Functional: PBE with a Hubbard U
Structure: optimized geometry

The calculation puts the spin magnetization at 14.00 μB/f.u. As for the crystal system: trigonal. The calculated total energy is -8.20 eV per atom. The density of states at the Fermi level is 0.1457 states/eV per atom.

The space group is R32 (No. 155, hexagonal axes) and the conventional cell measures 9.7458, 9.7458 and 8.0324 Å, with angles of 90.00, 90.00 and 120.00 degrees. Symmetry generates all atoms from Pa at (0.0000, 0.0000, 0.0000), Mn at (0.0000, 0.5445, 0.0000), B at (0.0000, 0.0000, 0.5000), B at (0.0000, 0.4597, 0.5000), O at (0.0000, 0.5975, 0.5000), O at (0.0000, 0.8581, 0.5000) and O at (0.0133, 0.1984, 0.1659).

Compound: Mn2B2PbO6
Source: Alexandria
Functional: PBE with a Hubbard U
Structure: optimized geometry

The calculation puts the spin magnetization at 10.00 μB/f.u. As for the crystal system: triclinic. The calculated total energy is -7.50 eV per atom. The density of states at the Fermi level is 0.0000 states/eV per atom.

The space group is P-1 (No. 2) and the conventional cell measures 5.3296, 5.6121 and 6.0383 Å, with angles of 68.23, 64.91 and 85.85 degrees. Symmetry generates all atoms from Mn at (0.1565, 0.2141, 0.0344), B at (0.3963, 0.7459, 0.8104), Pb at (0.0000, 0.5000, 0.5000), O at (0.2255, 0.8528, 0.9960), O at (0.2560, 0.5979, 0.7481) and O at (0.3196, 0.2225, 0.2868).